The following is a DFT calculation (SCAN) of a PBEsol-optimized structure of TaMoRu2.

The structure belongs to space group R-3m (No. 166, hexagonal axes); the cell edges are 2.7827, 2.7827 and 26.6715 Å and the angles 90.00°, 90.00° and 120.00°. Symmetry generates all atoms from Ta at (0.0000, 0.0000, 0.0000), Mo at (0.0000, 0.0000, 0.5000) and Ru at (0.0000, 0.0000, 0.2476).

As for the polymorph energy (0 for the lowest one): 184 meV/atom. For the formation energy, the calculation gives 0.095 eV per atom. For the density of states at the Fermi level, the calculation gives 11.70 states/eV/cell. For the final energy, the calculation gives -1.56866 Ha/atom.